# AlZnAu4 (PBE, optimized geometry)
# ΔE_f = 60 kJ/mol of formula units
# DFT total energy = -2.918 eV per atom
# Energy above the lowest structure with this stoichiometry = 297 meV/atom
data_AlZnAu4
_chemical_formula_sum 'Al4 Zn4 Au16'
_cell_length_a 7.771
_cell_length_b 7.771
_cell_length_c 7.771
_cell_angle_alpha 90.00
_cell_angle_beta 90.00
_cell_angle_gamma 90.00
_symmetry_space_group_name_H-M 'F -4 3 m'
_symmetry_Int_Tables_number 216
_symmetry_space_group_name_Hall 'F -4 2 3'
loop_
_atom_site_label
_atom_site_type_symbol
_atom_site_fract_x
_atom_site_fract_y
_atom_site_fract_z
Al1 Al 0.000 0.000 0.000
Zn1 Zn 0.250 0.250 0.250
Au1 Au 0.125 0.125 0.625